1.
This record from Alexandria via LeMat-Bulk describes a geometry-optimized VCdPS2 structure. The functional is PBE.

Output
The value obtained for the relative energy among the computed polymorphs is 1299 meV per atom.

Unit cell a=4.917 b=4.917 c=4.842 alpha=90.00 beta=90.00 gamma=90.00
Positions (direct):
Cd: 0.000 0.000 0.000
P: 0.000 0.000 0.500
S: 0.000 0.500 0.000
V: 0.500 0.500 0.500
S: 0.500 0.000 0.000


2.
This record from Alexandria via LeMat-Bulk describes a geometry-optimized Li7Zn structure. The functional is PBE.

Output
The value obtained for the relative energy among the computed polymorphs is 2 meV per atom.

Unit cell a=5.885 b=5.885 c=5.885 alpha=60.00 beta=60.00 gamma=60.00
Positions (direct):
Zn: 0.000 0.000 0.000
Li: 0.000 0.500 0.500
Li: 0.000 0.500 0.000
Li: 0.000 0.000 0.500
Li: 0.500 0.500 0.000
Li: 0.500 0.000 0.000
Li: 0.500 0.500 0.500
Li: 0.500 0.000 0.500


3.
This record from Alexandria via LeMat-Bulk describes a geometry-optimized KPbI3 structure. The functional is PBE.

Output
The value obtained for the raw total energy is -2.8520 eV/atom.

Unit cell a=4.809 b=9.704 c=9.910 alpha=97.24 beta=90.00 gamma=90.00
Positions (direct):
I: 0.250 0.698 0.044
K: 0.250 0.373 0.213
I: 0.250 0.370 0.595
I: 0.250 0.927 0.688
I: 0.750 0.073 0.312
K: 0.750 0.627 0.787
Pb: 0.750 0.160 0.660
I: 0.750 0.630 0.405
I: 0.750 0.302 0.956
Pb: 0.250 0.840 0.340


4.
This record from Alexandria via LeMat-Bulk describes a geometry-optimized LaMgOs2 structure. The functional is PBE.

Output
The value obtained for the raw total energy is -6.8379 eV/atom.

Unit cell a=4.791 b=4.791 c=5.928 alpha=84.17 beta=84.17 gamma=36.05
Positions (direct):
La: 0.750 0.750 0.750
Mg: 0.250 0.250 0.250
Os: 0.511 0.511 0.426
Os: 0.989 0.989 0.074


5.
This record from Alexandria via LeMat-Bulk describes a geometry-optimized LiTaNb2Hg structure. The functional is PBE.

Output
The value obtained for the raw total energy is -5.6504 eV/atom.

Unit cell a=4.894 b=5.461 c=4.894 alpha=90.00 beta=90.00 gamma=90.00
Positions (direct):
Hg: 0.000 0.500 0.000
Nb: 0.500 0.000 0.000
Ta: 0.000 0.000 0.000
Nb: 0.000 0.000 0.500
Li: 0.500 0.500 0.500


6.
This record from Alexandria via LeMat-Bulk describes a geometry-optimized Ce2MgAs4Pd3 structure. The functional is PBE.

Output
The value obtained for the raw total energy is -5.5819 eV/atom.

Unit cell a=4.369 b=4.369 c=10.570 alpha=90.00 beta=90.00 gamma=90.00
Positions (direct):
As: 0.000 0.000 0.000
Pd: 0.000 0.500 0.122
Ce: 0.500 0.000 0.234
As: 0.500 0.000 0.645
Mg: 0.500 0.500 0.500
Pd: 0.000 0.000 0.500
As: 0.000 0.500 0.355
Pd: 0.500 0.000 0.878
As: 0.500 0.500 0.000
Ce: 0.000 0.500 0.766